Entry 1:
Computed, not measured: La2CoCu at its PBEsol-relaxed geometry at the meta-GGA SCAN level of DFT.

Output
- space-group type = P2/m (10)
- D(E_F) (states/eV per atom) = 0.7260
- electronic total energy (eV per atom) = -29.69

a b c (Å): 3.4968 3.5130 7.0550
angles (deg): 95.71 90.00 90.00
With the nearest neighbours (Å) after each atom.
Atoms (fractional coordinates):
Cu1 0.5000 0.5000 0.0000  8 La 3.11-3.12
Co1 0.5000 0.5000 0.5000  4 La 2.77
La1 0.0000 0.9447 0.7318  2 Co 2.77
La2 0.0000 0.0553 0.2682  2 Co 2.77

=====

Entry 2:
Computed, not measured: LiCaHg at its PBEsol-relaxed geometry at the meta-GGA SCAN level of DFT.

Output
- space-group type = I4mm (107)
- D(E_F) (states/eV per atom) = 0.5727
- excess energy over the best structure of this formula in the dataset (eV/atom) = 0.076

a b c (Å): 3.7200 3.7200 5.6978
angles (deg): 109.05 109.05 90.00
With the nearest neighbours (Å) after each atom.
Atoms (fractional coordinates):
Li1 0.6911 0.6911 0.3821  4 Hg 2.92, 1 Ca 3.04
Hg1 0.3167 0.3167 0.6334  4 Li 2.92, 4 Ca 3.17
Ca1 0.9922 0.9922 0.9844  5 Li 3.04-3.31, 5 Hg 3.17-3.28

=====

Entry 3:
Computed, not measured: CaCuN3 at its PBEsol-relaxed geometry at the meta-GGA SCAN level of DFT.

Output
- space-group type = Pm-3m (221)
- D(E_F) (states/eV per atom) = 0.6850
- electronic total energy (eV per atom) = -8.37

a b c (Å): 4.4269 4.4269 4.4269
angles (deg): 90.00 90.00 90.00
With the nearest neighbours (Å) after each atom.
Atoms (fractional coordinates):
Ca1 0.0000 0.0000 0.0000  6 N 2.21
N1 0.5000 0.0000 0.0000  2 Ca 2.21
N2 0.0000 0.0000 0.5000  2 Ca 2.21
N3 0.0000 0.5000 0.0000  2 Ca 2.21
Cu1 0.5000 0.5000 0.5000  12 N 3.13

=====

Entry 4:
Computed, not measured: Zn2SeBr at its PBEsol-relaxed geometry at the meta-GGA SCAN level of DFT.

Output
- space-group type = P2/m (10)
- D(E_F) (states/eV per atom) = 0.1788
- excess energy over the best structure of this formula in the dataset (eV/atom) = 0.000

a b c (Å): 3.5407 3.7008 6.4456
angles (deg): 92.00 90.00 90.00
With the nearest neighbours (Å) after each atom.
Atoms (fractional coordinates):
Br1 0.5000 0.0000 0.0000  4 Zn 2.68
Zn1 0.0000 0.0972 0.3100  1 Zn 2.58, 2 Se 2.59, 2 Br 2.68
Zn2 0.0000 0.9028 0.6900  1 Zn 2.58, 2 Se 2.59, 2 Br 2.68
Se1 0.5000 0.5000 0.5000  4 Zn 2.59

=====

Entry 5:
Computed, not measured: BaLi2Si2 at its PBEsol-relaxed geometry at the meta-GGA SCAN level of DFT.

Output
- space-group type = I4/mmm (139)
- D(E_F) (states/eV per atom) = 0.4591
- electronic total energy (eV per atom) = -13.17

a b c (Å): 4.6901 4.6901 5.9059
angles (deg): 113.40 113.40 90.00
With the nearest neighbours (Å) after each atom.
Atoms (fractional coordinates):
Si1 0.3837 0.3837 0.7673  1 Si 2.27
Si2 0.6163 0.6163 0.2327  1 Si 2.27
Ba1 0.0000 0.0000 0.0000  8 Li 3.39, 10 Si 3.51-3.75
Li1 0.7500 0.2500 0.5000  4 Si 2.68
Li2 0.2500 0.7500 0.5000  4 Si 2.68

=====

Entry 6:
Computed, not measured: InSn2Bi at its PBEsol-relaxed geometry at the meta-GGA SCAN level of DFT.

Output
- space-group type = Fm-3m (225)
- D(E_F) (states/eV per atom) = 0.7652
- excess energy over the best structure of this formula in the dataset (eV/atom) = 0.132

a b c (Å): 5.3736 5.3736 5.3736
angles (deg): 60.00 60.00 60.00
With the nearest neighbours (Å) after each atom.
Atoms (fractional coordinates):
Bi1 0.5000 0.5000 0.5000  8 Sn 3.29
Sn1 0.7500 0.7500 0.7500  4 In 3.29, 4 Bi 3.29
Sn2 0.2500 0.2500 0.2500  4 Bi 3.29, 4 In 3.29
In1 0.0000 0.0000 0.0000  8 Sn 3.29